AlCrIO2 | PBE with a Hubbard U | optimized geometry

Cell lengths 3.9112, 3.9112, 6.2264 Å; angles 90.00, 90.00, 90.00 degrees
With the nearest neighbours (Å) after each atom.
Fractional positions:
Al 0.0000 0.0000 0.0000  4 I 2.77
Cr 0.5000 0.5000 0.5000  4 O 1.96
I 0.5000 0.5000 0.0000  4 Al 2.77
O 0.0000 0.5000 0.5000  2 Cr 1.96
O 0.5000 0.0000 0.5000  2 Cr 1.96

Summary:
polymorph energy (0 for the lowest one)	567	meV per atom